# PBE NaLi2Te2, optimized geometry
# size of the total moment = 0.00 μB per formula unit
# density of states at the Fermi level = 1.0 states/eV per cell
# formation energy (no corrections) = -17.884 kcal/mol of atoms
# raw total energy = -3.062 eV per atom
# distance to the lowest polymorph of the same formula = 0.058 eV/atom
data_NaLi2Te2
_cell_length_a 8.5289
_cell_length_b 8.5289
_cell_length_c 3.4280
_cell_angle_alpha 90.00
_cell_angle_beta 90.00
_cell_angle_gamma 90.00
_symmetry_space_group_name_H-M 'P 4/m b m'
_symmetry_Int_Tables_number 127
_symmetry_space_group_name_Hall '-P 4 2ab'
loop_
_atom_site_label
_atom_site_type_symbol
_atom_site_fract_x
_atom_site_fract_y
_atom_site_fract_z
_atom_site_occupancy
Na1 Na 0.0000 0.0000 0.0000 1
Li1 Li 0.1250 0.3750 0.5000 1
Te1 Te 0.1726 0.6726 0.0000 1